# 1
A geometry-optimized CrSiC structure. Source: Alexandria via LeMat-Bulk, functional PBE.

a = 2.948 Å, b = 2.802 Å, c = 7.057 Å
α = 90.00°, β = 90.00°, γ = 90.00°
Element x y z (fractional)
Cr  0.000  0.000  0.742
Cr  0.000  0.500  0.242
Si  0.500  0.000  0.029
Si  0.500  0.500  0.529
C  0.000  0.000  0.448
C  0.000  0.500  0.948

Output
Calculated total energy ... -7.857 eV/atom
Distance to the lowest polymorph of the same formula ... 0.131 eV/atom
Formation energy from raw total energies ... 0.233 eV/atom
Calculated density ... 5.25 g cm⁻³
Symmetry ... Amm2

---

# 2
A geometry-optimized CrSiC3 structure. Source: Alexandria via LeMat-Bulk, functional PBE.

a = 3.680 Å, b = 3.680 Å, c = 3.680 Å
α = 90.00°, β = 90.00°, γ = 90.00°
Element x y z (fractional)
Cr  0.500  0.500  0.500
Si  0.000  0.000  0.000
C  0.000  0.500  0.000
C  0.000  0.000  0.500
C  0.500  0.000  0.000

Output
Calculated total energy ... -6.412 eV/atom
Distance to the lowest polymorph of the same formula ... 0.206 eV/atom
Formation energy from raw total energies ... 2.132 eV/atom
Calculated density ... 3.87 g cm⁻³
Symmetry ... Pm-3m

---

# 3
A geometry-optimized CrSiC structure. Source: Alexandria via LeMat-Bulk, functional PBE.

a = 3.376 Å, b = 3.176 Å, c = 6.664 Å
α = 90.00°, β = 90.00°, γ = 90.00°
Element x y z (fractional)
Cr  0.500  0.000  0.133
Cr  0.500  0.500  0.633
Si  0.000  0.000  0.536
Si  0.000  0.500  0.036
C  0.500  0.000  0.427
C  0.500  0.500  0.927

Output
Calculated total energy ... -7.570 eV/atom
Distance to the lowest polymorph of the same formula ... 0.418 eV/atom
Formation energy from raw total energies ... 0.520 eV/atom
Calculated density ... 4.28 g cm⁻³
Symmetry ... Amm2

---

# 4
A geometry-optimized Cr5Si3C structure. Source: Alexandria via LeMat-Bulk, functional PBE.

a = 6.928 Å, b = 6.928 Å, c = 4.800 Å
α = 90.00°, β = 90.00°, γ = 120.00°
Element x y z (fractional)
Cr  0.667  0.333  0.000
Cr  0.333  0.667  0.000
Cr  0.333  0.667  0.500
Cr  0.667  0.333  0.500
Cr  0.770  0.770  0.750
Cr  0.230  0.000  0.750
Cr  0.000  0.230  0.750
Cr  0.230  0.230  0.250
Cr  0.770  0.000  0.250
Cr  0.000  0.770  0.250
Si  0.406  0.406  0.750
Si  0.594  0.000  0.750
Si  0.000  0.594  0.750
Si  0.594  0.594  0.250
Si  0.406  0.000  0.250
Si  0.000  0.406  0.250
C  0.000  0.000  0.000
C  0.000  0.000  0.500

Output
Calculated total energy ... -8.461 eV/atom
Formation energy from raw total energies ... -0.282 eV/atom
Calculated density ... 5.93 g cm⁻³
Symmetry ... P6_3/mcm

---

# 5
A geometry-optimized CrSiC structure. Source: Alexandria via LeMat-Bulk, functional PBE.

a = 3.007 Å, b = 3.007 Å, c = 11.354 Å
α = 90.00°, β = 90.00°, γ = 120.00°
Element x y z (fractional)
Cr  0.000  0.000  0.161
Cr  0.333  0.667  0.828
Cr  0.667  0.333  0.495
Si  0.000  0.000  0.642
Si  0.333  0.667  0.309
Si  0.667  0.333  0.975
C  0.000  0.000  0.373
C  0.333  0.667  0.039
C  0.667  0.333  0.706

Output
Calculated total energy ... -7.794 eV/atom
Distance to the lowest polymorph of the same formula ... 0.193 eV/atom
Formation energy from raw total energies ... 0.296 eV/atom
Calculated density ... 5.16 g cm⁻³
Symmetry ... R3m

---

# 6
A geometry-optimized CrSi2C structure. Source: Alexandria via LeMat-Bulk, functional PBE.

a = 5.950 Å, b = 5.950 Å, c = 4.896 Å
α = 52.58°, β = 52.58°, γ = 90.00°
Element x y z (fractional)
Cr  0.000  0.000  0.000
Cr  0.750  0.250  0.500
Si  0.552  0.125  0.250
Si  0.198  0.625  0.250
Si  0.375  0.448  0.750
Si  0.875  0.802  0.750
C  0.500  0.500  0.000
C  0.250  0.750  0.500

Output
Calculated total energy ... -6.880 eV/atom
Formation energy from raw total energies ... 0.543 eV/atom
Calculated density ... 4.50 g cm⁻³
Symmetry ... I-42d

---

# 7
A geometry-optimized CrSiC3 structure. Source: Alexandria via LeMat-Bulk, functional PBE.

a = 3.823 Å, b = 3.823 Å, c = 3.823 Å
α = 90.00°, β = 90.00°, γ = 90.00°
Element x y z (fractional)
Cr  0.000  0.000  0.000
Si  0.500  0.500  0.500
C  0.000  0.500  0.000
C  0.000  0.000  0.500
C  0.500  0.000  0.000

Output
Calculated total energy ... -6.618 eV/atom
Distance to the lowest polymorph of the same formula ... 0.000 eV/atom
Formation energy from raw total energies ... 1.925 eV/atom
Calculated density ... 3.45 g cm⁻³
Symmetry ... Pm-3m

---

# 8
A geometry-optimized CrSiC structure. Source: Alexandria via LeMat-Bulk, functional PBE.

a = 3.044 Å, b = 3.223 Å, c = 6.683 Å
α = 90.00°, β = 90.00°, γ = 90.00°
Element x y z (fractional)
Cr  0.000  0.500  0.315
Cr  0.500  0.000  0.815
Si  0.000  0.500  0.928
Si  0.500  0.000  0.428
C  0.000  0.000  0.582
C  0.500  0.500  0.082

Output
Calculated total energy ... -7.540 eV/atom
Distance to the lowest polymorph of the same formula ... 0.448 eV/atom
Formation energy from raw total energies ... 0.550 eV/atom
Calculated density ... 4.67 g cm⁻³
Symmetry ... Imm2

---

# 9
A geometry-optimized SmCr2Si2C structure. Source: Alexandria via LeMat-Bulk, functional PBE.

a = 3.981 Å, b = 3.981 Å, c = 5.328 Å
α = 90.00°, β = 90.00°, γ = 90.00°
Element x y z (fractional)
Sm  0.000  0.000  0.500
Cr  0.000  0.500  0.000
Cr  0.500  0.000  0.000
Si  0.500  0.500  0.269
Si  0.500  0.500  0.731
C  0.000  0.000  0.000

Output
Calculated total energy ... -7.798 eV/atom
Formation energy from raw total energies ... -0.459 eV/atom
Calculated density ... 6.34 g cm⁻³
Symmetry ... P4/mmm

---

# 10
A geometry-optimized TbCr2SiC structure. Source: Alexandria via LeMat-Bulk, functional PBE.

a = 3.702 Å, b = 5.579 Å, c = 7.253 Å
α = 90.00°, β = 90.00°, γ = 109.38°
Element x y z (fractional)
Tb  0.462  0.924  0.750
Tb  0.538  0.076  0.250
Cr  0.175  0.350  0.941
Cr  0.825  0.650  0.059
Cr  0.175  0.350  0.559
Cr  0.825  0.650  0.441
Si  0.740  0.479  0.750
Si  0.260  0.521  0.250
C  0.000  0.000  0.000
C  0.000  0.000  0.500

Output
Calculated total energy ... -8.107 eV/atom
Formation energy from raw total energies ... -0.402 eV/atom
Calculated density ... 7.12 g cm⁻³
Symmetry ... Cmcm

---

# 11
A geometry-optimized ThCr2Si2C structure. Source: Alexandria via LeMat-Bulk, functional PBE.

a = 4.027 Å, b = 4.027 Å, c = 5.298 Å
α = 90.00°, β = 90.00°, γ = 90.00°
Element x y z (fractional)
Th  0.000  0.000  0.500
Cr  0.500  0.000  0.000
Cr  0.000  0.500  0.000
Si  0.500  0.500  0.733
Si  0.500  0.500  0.267
C  0.000  0.000  0.000

Output
Calculated total energy ... -8.292 eV/atom
Formation energy from raw total energies ... -0.503 eV/atom
Calculated density ... 7.81 g cm⁻³
Symmetry ... P4/mmm

---

# 12
A geometry-optimized TiCr2SiC structure. Source: Alexandria via LeMat-Bulk, functional PBE.

a = 2.838 Å, b = 6.291 Å, c = 6.768 Å
α = 90.00°, β = 90.00°, γ = 103.03°
Element x y z (fractional)
Ti  0.471  0.943  0.750
Ti  0.529  0.057  0.250
Cr  0.150  0.299  0.938
Cr  0.850  0.701  0.062
Cr  0.150  0.299  0.562
Cr  0.850  0.701  0.438
Si  0.771  0.542  0.750
Si  0.229  0.458  0.250
C  0.000  0.000  0.000
C  0.000  0.000  0.500

Output
Calculated total energy ... -8.624 eV/atom
Formation energy from raw total energies ... -0.267 eV/atom
Calculated density ... 5.42 g cm⁻³
Symmetry ... Cmcm

---

# 13
A geometry-optimized TmCr2Si2C structure. Source: Alexandria via LeMat-Bulk, functional PBE.

a = 3.949 Å, b = 3.949 Å, c = 5.198 Å
α = 90.00°, β = 90.00°, γ = 90.00°
Element x y z (fractional)
Tm  0.000  0.000  0.500
Cr  0.500  0.000  0.000
Cr  0.000  0.500  0.000
Si  0.500  0.500  0.728
Si  0.500  0.500  0.272
C  0.000  0.000  0.000

Output
Calculated total energy ... -7.758 eV/atom
Formation energy from raw total energies ... -0.460 eV/atom
Calculated density ... 6.99 g cm⁻³
Symmetry ... P4/mmm

---

# 14
A geometry-optimized TmCr2SiC structure. Source: Alexandria via LeMat-Bulk, functional PBE.

a = 3.636 Å, b = 5.559 Å, c = 7.210 Å
α = 90.00°, β = 90.00°, γ = 109.09°
Element x y z (fractional)
Tm  0.463  0.927  0.750
Tm  0.537  0.073  0.250
Cr  0.174  0.348  0.941
Cr  0.826  0.652  0.059
Cr  0.174  0.348  0.559
Cr  0.826  0.652  0.441
Si  0.741  0.482  0.750
Si  0.259  0.518  0.250
C  0.000  0.000  0.000
C  0.000  0.000  0.500

Output
Calculated total energy ... -8.095 eV/atom
Formation energy from raw total energies ... -0.422 eV/atom
Calculated density ... 7.55 g cm⁻³
Symmetry ... Cmcm

---

# 15
A geometry-optimized UCr2SiC structure. Source: Alexandria via LeMat-Bulk, functional PBE.

a = 3.355 Å, b = 5.718 Å, c = 7.433 Å
α = 90.00°, β = 90.00°, γ = 107.06°
Element x y z (fractional)
U  0.470  0.940  0.750
U  0.530  0.060  0.250
Cr  0.171  0.341  0.944
Cr  0.829  0.659  0.056
Cr  0.171  0.341  0.556
Cr  0.829  0.659  0.444
Si  0.749  0.498  0.750
Si  0.251  0.502  0.250
C  0.000  0.000  0.000
C  0.000  0.000  0.500

Output
Calculated total energy ... -9.309 eV/atom
Formation energy from raw total energies ... -0.273 eV/atom
Calculated density ... 9.31 g cm⁻³
Symmetry ... Cmcm

---

# 16
A geometry-optimized Y2CrSiC structure. Source: Alexandria via LeMat-Bulk, functional PBE.

a = 4.877 Å, b = 4.877 Å, c = 3.901 Å
α = 90.00°, β = 90.00°, γ = 90.00°
Element x y z (fractional)
Y  0.000  0.500  0.000
Y  0.500  0.000  0.000
Cr  0.000  0.000  0.500
Si  0.500  0.500  0.500
C  0.000  0.000  0.000

Output
Calculated total energy ... -7.746 eV/atom
Formation energy from raw total energies ... -0.307 eV/atom
Calculated density ... 4.83 g cm⁻³
Symmetry ... P4/mmm

---

# 17
A geometry-optimized YCr2SiC structure. Source: Alexandria via LeMat-Bulk, functional PBE.

a = 3.693 Å, b = 5.576 Å, c = 7.245 Å
α = 90.00°, β = 90.00°, γ = 109.34°
Element x y z (fractional)
Y  0.462  0.924  0.750
Y  0.538  0.076  0.250
Cr  0.175  0.350  0.941
Cr  0.825  0.650  0.059
Cr  0.175  0.350  0.559
Cr  0.825  0.650  0.441
Si  0.740  0.479  0.750
Si  0.260  0.521  0.250
C  0.000  0.000  0.000
C  0.000  0.000  0.500

Output
Calculated total energy ... -8.479 eV/atom
Formation energy from raw total energies ... -0.407 eV/atom
Calculated density ... 5.50 g cm⁻³
Symmetry ... Cmcm

---

# 18
A geometry-optimized YCrSiC2 structure. Source: Alexandria via LeMat-Bulk, functional PBE.

a = 4.339 Å, b = 5.160 Å, c = 4.339 Å
α = 90.00°, β = 90.00°, γ = 90.00°
Element x y z (fractional)
Y  0.000  0.000  0.000
Cr  0.000  0.500  0.000
Si  0.500  0.500  0.500
C  0.000  0.000  0.500
C  0.500  0.000  0.000

Output
Calculated total energy ... -5.164 eV/atom
Formation energy from raw total energies ... 2.827 eV/atom
Calculated density ... 3.30 g cm⁻³
Symmetry ... P4/mmm

---

# 19
A geometry-optimized YCr2Si2C structure. Source: Alexandria via LeMat-Bulk, functional PBE.

a = 3.963 Å, b = 3.963 Å, c = 5.257 Å
α = 90.00°, β = 90.00°, γ = 90.00°
Element x y z (fractional)
Y  0.000  0.000  0.500
Cr  0.000  0.500  0.000
Cr  0.500  0.000  0.000
Si  0.500  0.500  0.271
Si  0.500  0.500  0.729
C  0.000  0.000  0.000

Output
Calculated total energy ... -8.098 eV/atom
Formation energy from raw total energies ... -0.467 eV/atom
Calculated density ... 5.25 g cm⁻³
Symmetry ... P4/mmm

---

# 20
A geometry-optimized ZrCr2SiC structure. Source: Alexandria via LeMat-Bulk, functional PBE.

a = 3.456 Å, b = 5.547 Å, c = 7.167 Å
α = 90.00°, β = 90.00°, γ = 108.15°
Element x y z (fractional)
Zr  0.464  0.927  0.750
Zr  0.536  0.073  0.250
Cr  0.172  0.345  0.943
Cr  0.828  0.655  0.057
Cr  0.172  0.345  0.557
Cr  0.828  0.655  0.443
Si  0.745  0.489  0.750
Si  0.255  0.511  0.250
C  0.000  0.000  0.000
C  0.000  0.000  0.500

Output
Calculated total energy ... -8.898 eV/atom
Formation energy from raw total energies ... -0.410 eV/atom
Calculated density ... 5.98 g cm⁻³
Symmetry ... Cmcm